Record 1
CePr2Te2As2 (PBE-GGA, relaxed); VASP energy = -38.55 eV per cell; raw formation energy = -1.068 eV/atom
1.0
-2.701 2.701 8.001
2.701 -2.701 8.001
2.701 2.701 -8.001
Ce Pr Te As
1 2 2 2
direct
0.000 0.000 0.000
0.384 0.384 0.000
0.616 0.616 0.000
0.190 0.190 0.000
0.810 0.810 0.000
0.000 0.500 0.500
0.500 0.000 0.500

=====

Record 2
Ce2PrThAs4 (PBE-GGA, relaxed); energy of formation from the pure elements = -11.63 eV/f.u.; VASP energy = -54.30 eV per cell
1.0
7.359 0.000 0.000
0.000 4.253 0.000
-2.455 0.000 6.949
Ce Pr Th As
2 1 1 4
direct
0.000 0.000 0.000
0.500 0.500 0.000
0.000 0.500 0.500
0.500 0.000 0.500
0.252 0.500 0.247
0.255 0.000 0.755
0.745 0.000 0.245
0.748 0.500 0.753

=====

Please write out number 1 again, unchanged.
CePr2Te2As2 (PBE-GGA, relaxed); VASP energy = -38.55 eV per cell; raw formation energy = -1.068 eV/atom
1.0
-2.701 2.701 8.001
2.701 -2.701 8.001
2.701 2.701 -8.001
Ce Pr Te As
1 2 2 2
direct
0.000 0.000 0.000
0.384 0.384 0.000
0.616 0.616 0.000
0.190 0.190 0.000
0.810 0.810 0.000
0.000 0.500 0.500
0.500 0.000 0.500

=====

> VASP energy of number 2 (Ce2PrThAs4)?

-54.30 eV per cell

=====

> The highest VASP energy belongs to which entry?

CePr2Te2As2

=====

> The lowest VASP energy belongs to which entry?

Ce2PrThAs4